# Sm12Y5Sc2

Crystalline Sm12Y5Sc2 at its relaxed geometry (GGA-PBE, the Alexandria database).

Values from the calculation:
M_tot (μB per cell): 0.000
Formation energy (meV per atom): 153
Energy above the lowest structure with this stoichiometry (meV/atom): 0
E (eV/atom): -5.196

a b c (Å): 7.0032 8.6944 11.6821
angles (deg): 110.78 107.44 90.01
Last column: nearest neighbours and their distance in Å.
Fractional coordinates of all 19 atoms:
Sm (0.8655, 0.9615, 0.7310)  2 Sc 3.43, 6 Sm 3.52-3.79, 3 Y 3.53-3.79
Sm (0.4552, 0.7931, 0.4051)  7 Sm 3.43-3.79, 4 Y 3.49-3.71
Sm (0.9498, 0.7931, 0.4051)  7 Sm 3.43-3.79, 4 Y 3.49-3.71
Sm (0.3603, 0.3785, 0.2074)  1 Sc 3.24, 4 Y 3.39-3.50, 3 Sm 3.41-3.59
Sm (0.8471, 0.3785, 0.2074)  1 Sc 3.24, 4 Y 3.39-3.50, 3 Sm 3.41-3.59
Sm (0.5487, 0.6974, 0.0973)  5 Sm 3.31-3.65, 1 Y 3.34, 2 Sc 3.60
Sm (0.4513, 0.3026, 0.9027)  5 Sm 3.31-3.65, 1 Y 3.34, 2 Sc 3.60
Sm (0.6397, 0.6215, 0.7926)  1 Sc 3.24, 4 Y 3.39-3.50, 3 Sm 3.41-3.59
Sm (0.1529, 0.6215, 0.7926)  1 Sc 3.24, 4 Y 3.39-3.50, 3 Sm 3.41-3.59
Sm (0.5448, 0.2069, 0.5949)  7 Sm 3.43-3.79, 4 Y 3.49-3.71
Sm (0.0502, 0.2069, 0.5949)  7 Sm 3.43-3.79, 4 Y 3.49-3.71
Sm (0.1345, 0.0385, 0.2690)  2 Sc 3.43, 6 Sm 3.52-3.79, 3 Y 3.53-3.79
Y (0.7516, 0.5117, 0.5032)  9 Sm 3.49-3.79, 3 Y 3.50-3.51
Y (0.6475, 0.0950, 0.2950)  9 Sm 3.34-3.71, 2 Sc 3.49, 1 Y 3.50
Y (0.0000, 0.5000, 0.0000)  4 Sm 3.39
Y (0.3525, 0.9050, 0.7050)  9 Sm 3.34-3.71, 2 Sc 3.49, 1 Y 3.50
Y (0.2484, 0.4883, 0.4968)  9 Sm 3.49-3.79, 3 Y 3.50-3.51
Sc (0.7360, 0.0000, 0.0000)  6 Sm 3.24-3.60, 1 Sc 3.30, 2 Y 3.49
Sc (0.2640, 0.0000, 0.0000)  6 Sm 3.24-3.60, 1 Sc 3.30, 2 Y 3.49

# Ca2TlCl2O2

Crystalline Ca2TlCl2O2 at its relaxed geometry (GGA-PBE, the Alexandria database).

Values from the calculation:
ΔE_f (raw) (eV per atom): -1.994
M_tot (μB per cell): 0.939
E (eV/atom): -4.848

a b c (Å): 3.8331 7.1490 7.4597
angles (deg): 54.82 75.11 74.45
Last column: nearest neighbours and their distance in Å.
Fractional coordinates of all 7 atoms:
Ca (0.2372, 0.2998, 0.2259)  3 O 2.29-2.32
Ca (0.7628, 0.7002, 0.7741)  3 O 2.29-2.32
Tl (0.0000, 0.0000, 0.0000)  2 O 2.31
Cl (0.6181, 0.1984, 0.5654)  3 Ca 2.88-2.90
Cl (0.3819, 0.8016, 0.4346)  3 Ca 2.88-2.90
O (0.1746, 0.6883, 0.9624)  3 Ca 2.29-2.32, 1 Tl 2.31
O (0.8254, 0.3117, 0.0376)  3 Ca 2.29-2.32, 1 Tl 2.31